# Zr2ScTlH PBE-GGA relaxed
data_Zr2ScTlH
_symmetry_space_group_name_H-M 'P 4/m m m'
_symmetry_Int_Tables_number 123
_symmetry_space_group_name_Hall '-P 4 2'
_cell_length_a 4.2690
_cell_length_b 4.2690
_cell_length_c 5.1682
_cell_angle_alpha 90.00
_cell_angle_beta 90.00
_cell_angle_gamma 90.00
loop_
_atom_site_label
_atom_site_fract_x
_atom_site_fract_y
_atom_site_fract_z
Zr1 0.0000 0.5000 0.0000
Sc1 0.0000 0.0000 0.5000
Tl1 0.5000 0.5000 0.5000
H1 0.5000 0.5000 0.0000
# Energy above the most stable polymorph in this dataset: 143 meV/atom

---

# CdS4 PBE-GGA relaxed
data_CdS4
_symmetry_space_group_name_H-M 'P m -3 m'
_symmetry_Int_Tables_number 221
_symmetry_space_group_name_Hall '-P 4 2 3'
_cell_length_a 5.1407
_cell_length_b 5.1407
_cell_length_c 5.1407
_cell_angle_alpha 90.00
_cell_angle_beta 90.00
_cell_angle_gamma 90.00
loop_
_atom_site_label
_atom_site_fract_x
_atom_site_fract_y
_atom_site_fract_z
Cd1 0.0000 0.0000 0.0000
S1 0.0000 0.0000 0.5000
S2 0.5000 0.5000 0.5000
# Raw formation energy: 1204 meV per atom
# Energy above the most stable polymorph in this dataset: 1226 meV/atom

---

# Na2SrLiI5 PBE-GGA relaxed
data_Na2SrLiI5
_symmetry_space_group_name_H-M 'C m c 21'
_symmetry_Int_Tables_number 36
_symmetry_space_group_name_Hall 'C 2c -2'
_cell_length_a 4.6061
_cell_length_b 21.2249
_cell_length_c 14.7809
_cell_angle_alpha 90.00
_cell_angle_beta 90.00
_cell_angle_gamma 90.00
loop_
_atom_site_label
_atom_site_fract_x
_atom_site_fract_y
_atom_site_fract_z
Na1 0.0000 0.0637 0.0000
Na2 0.0000 0.1048 0.6911
Sr1 0.0000 0.2132 0.4041
Li1 0.0000 0.4262 0.7791
I1 0.0000 0.0567 0.3791
I2 0.0000 0.2968 0.7480
I3 0.0000 0.3038 0.0599
I4 0.0000 0.3686 0.3731
I5 0.0000 0.4984 0.6279
# Raw formation energy: -1355 meV per atom

---

# Dy12Tm5Th2 PBE-GGA relaxed
data_Dy12Tm5Th2
_symmetry_space_group_name_H-M 'P -1'
_symmetry_Int_Tables_number 2
_symmetry_space_group_name_Hall '-P 1'
_cell_length_a 6.1365
_cell_length_b 9.3406
_cell_length_c 11.1692
_cell_angle_alpha 83.12
_cell_angle_beta 79.44
_cell_angle_gamma 70.86
loop_
_atom_site_label
_atom_site_fract_x
_atom_site_fract_y
_atom_site_fract_z
Dy1 0.0273 0.0516 0.3435
Dy2 0.1314 0.2629 0.7097
Dy3 0.1851 0.3682 0.3943
Dy4 0.2884 0.5786 0.7656
Dy5 0.3956 0.7865 0.1303
Dy6 0.4495 0.8929 0.8153
Tm1 0.0782 0.1613 0.0257
Tm2 0.3412 0.6851 0.4480
Tm3 0.5000 0.0000 0.5000
Th1 0.2356 0.4749 0.0768
# ΔH_f (0 K): 0.0253 eV/atom
# Energy above the most stable polymorph in this dataset: 0 meV/atom

---

# CsPa4Te12Pd3 PBE-GGA relaxed
data_CsPa4Te12Pd3
_symmetry_space_group_name_H-M 'I m -3'
_symmetry_Int_Tables_number 204
_symmetry_space_group_name_Hall '-I 2 2 3'
_cell_length_a 11.0648
_cell_length_b 11.0648
_cell_length_c 11.0648
_cell_angle_alpha 90.00
_cell_angle_beta 90.00
_cell_angle_gamma 90.00
loop_
_atom_site_label
_atom_site_fract_x
_atom_site_fract_y
_atom_site_fract_z
Cs1 0.0000 0.0000 0.0000
Pa1 0.2500 0.2500 0.2500
Te1 0.0000 0.3218 0.1676
Pd1 0.0000 0.0000 0.5000
# Raw formation energy: -568 meV per atom

---

# Ac2PAu PBE-GGA relaxed
data_Ac2PAu
_symmetry_space_group_name_H-M 'R -3 m'
_symmetry_Int_Tables_number 166
_symmetry_space_group_name_Hall '-R 3 2"'
_cell_length_a 4.3615
_cell_length_b 4.3615
_cell_length_c 23.3480
_cell_angle_alpha 90.00
_cell_angle_beta 90.00
_cell_angle_gamma 120.00
loop_
_atom_site_label
_atom_site_fract_x
_atom_site_fract_y
_atom_site_fract_z
Ac1 0.0000 0.0000 0.2444
P1 0.0000 0.0000 0.5000
Au1 0.0000 0.0000 0.0000
# ΔH_f (0 K): -1.0454 eV/atom
# Energy above the most stable polymorph in this dataset: 0 meV/atom

---

# LaAg2SnBr PBE-GGA relaxed
data_LaAg2SnBr
_symmetry_space_group_name_H-M 'P 4/m m m'
_symmetry_Int_Tables_number 123
_symmetry_space_group_name_Hall '-P 4 2'
_cell_length_a 5.7764
_cell_length_b 5.7764
_cell_length_c 5.5737
_cell_angle_alpha 90.00
_cell_angle_beta 90.00
_cell_angle_gamma 90.00
loop_
_atom_site_label
_atom_site_fract_x
_atom_site_fract_y
_atom_site_fract_z
La1 0.0000 0.0000 0.0000
Ag1 0.0000 0.5000 0.0000
Sn1 0.5000 0.5000 0.5000
Br1 0.0000 0.0000 0.5000
# Raw formation energy: 284 meV per atom

---

# CsCaSc2Cl8 PBE-GGA relaxed
data_CsCaSc2Cl8
_symmetry_space_group_name_H-M 'R -3'
_symmetry_Int_Tables_number 148
_symmetry_space_group_name_Hall '-R 3'
_cell_length_a 6.8461
_cell_length_b 6.8461
_cell_length_c 29.3366
_cell_angle_alpha 90.00
_cell_angle_beta 90.00
_cell_angle_gamma 120.00
loop_
_atom_site_label
_atom_site_fract_x
_atom_site_fract_y
_atom_site_fract_z
Cs1 0.0000 0.0000 0.0000
Ca1 0.0000 0.0000 0.5000
Sc1 0.0000 0.0000 0.2412
Cl1 0.0000 0.0000 0.3218
Cl2 0.0043 0.6568 0.7792
# Raw formation energy: -2013 meV per atom

---

# Hf3ReNi PBE-GGA relaxed
data_Hf3ReNi
_symmetry_space_group_name_H-M 'P m -3 m'
_symmetry_Int_Tables_number 221
_symmetry_space_group_name_Hall '-P 4 2 3'
_cell_length_a 4.6818
_cell_length_b 4.6818
_cell_length_c 4.6818
_cell_angle_alpha 90.00
_cell_angle_beta 90.00
_cell_angle_gamma 90.00
loop_
_atom_site_label
_atom_site_fract_x
_atom_site_fract_y
_atom_site_fract_z
Hf1 0.0000 0.0000 0.5000
Re1 0.5000 0.5000 0.5000
Ni1 0.0000 0.0000 0.0000
# ΔH_f (0 K): 0.6057 eV/atom
# Energy above the most stable polymorph in this dataset: 0 meV/atom

---

# TaAsPb2 PBE-GGA relaxed
data_TaAsPb2
_symmetry_space_group_name_H-M 'I 4/m m m'
_symmetry_Int_Tables_number 139
_symmetry_space_group_name_Hall '-I 4 2'
_cell_length_a 4.3141
_cell_length_b 4.3141
_cell_length_c 10.0669
_cell_angle_alpha 90.00
_cell_angle_beta 90.00
_cell_angle_gamma 90.00
loop_
_atom_site_label
_atom_site_fract_x
_atom_site_fract_y
_atom_site_fract_z
Ta1 0.0000 0.0000 0.0000
As1 0.0000 0.0000 0.5000
Pb1 0.0000 0.5000 0.2500
# ΔH_f (0 K): 0.6457 eV/atom

---

Number 1: mass density 7.63 g/cm3. Number 2: mass density 2.94 g/cm3. Number 3: mass density 3.56 g/cm3. Number 4: mass density 9.12 g/cm3. Number 5: mass density 7.13 g/cm3. Number 6: mass density 8.83 g/cm3. Number 7: mass density 4.94 g/cm3. Number 8: mass density 2.29 g/cm3. Number 9: mass density 12.63 g/cm3. Number 10: mass density 11.88 g/cm3.